A plane-wave DFT calculation with PBE was carried out for an optimized crystal structure of AlPAu2.

Cell lengths 5.406, 5.406, 3.904 Å; angles 68.91, 68.91, 118.35 degrees
Fractional positions:
Al: 0.000 0.500 0.500
Au: 0.500 0.500 0.000
Au: 0.000 0.000 0.000
P: 0.500 0.000 0.500

Properties
For the total energy, the calculation gives -15.68 eV/cell. The value obtained for the density of states at the Fermi level is 1.20 states/eV/f.u. The value obtained for the energy relative to the elements is 7 meV per atom. The calculation puts the energy relative to the lowest polymorph listed for this composition at 0.074 eV per atom.